A plane-wave DFT calculation with GGA-PBE was carried out for a geometry-optimized MgGaGe structure.

a = 7.169 Å, b = 7.169 Å, c = 7.169 Å
α = 38.71°, β = 38.71°, γ = 38.71°
Sites, in units of the cell vectors:
Mg 0.114 0.114 0.114
Mg 0.886 0.886 0.886
Ga 0.382 0.382 0.382
Ga 0.618 0.618 0.618
Ge 0.252 0.252 0.252
Ge 0.748 0.748 0.748

Properties
The density comes out at 4.27 g/cm³. Its spin magnetization is 0.0 μB/cell. The calculated total energy is -18.8 eV/cell. As for the space group: R-3m. The polymorph energy (0 for the lowest one) comes out at 0 meV/atom. The calculation puts the calculated volume at 21.6 Å³ per atom. The calculated formation energy comes out at -17 kJ/mol of formula units.


A plane-wave DFT calculation with GGA-PBE was carried out for a geometry-optimized Sm4Dy3HoS8 structure.

a = 7.942 Å, b = 7.942 Å, c = 7.942 Å
α = 59.49°, β = 59.49°, γ = 59.49°
Sites, in units of the cell vectors:
Sm 0.000 0.000 0.000
Sm 0.000 0.500 0.500
Sm 0.500 0.000 0.500
Sm 0.500 0.500 0.000
Dy 0.000 0.000 0.500
Dy 0.000 0.500 0.000
Dy 0.500 0.000 0.000
Ho 0.500 0.500 0.500
S 0.246 0.246 0.246
S 0.247 0.746 0.746
S 0.254 0.254 0.753
S 0.254 0.753 0.254
S 0.746 0.247 0.746
S 0.746 0.746 0.247
S 0.753 0.254 0.254
S 0.754 0.754 0.754

Properties
The density comes out at 7.16 g/cm³. Its spin magnetization is 0.0 μB/cell. The calculated total energy is -102.4 eV/cell. As for the space group: R-3m. The calculation puts the calculated volume at 21.9 Å³ per atom. For the formation energy (no corrections), the calculation gives -2.0051 eV/atom.


A plane-wave DFT calculation with GGA-PBE was carried out for a geometry-optimized SrIrRh structure.

a = 4.237 Å, b = 4.237 Å, c = 4.651 Å
α = 90.00°, β = 90.00°, γ = 120.00°
Sites, in units of the cell vectors:
Sr 0.000 0.000 0.000
Ir 0.667 0.333 0.500
Rh 0.333 0.667 0.500

Properties
The density comes out at 8.79 g/cm³. Its spin magnetization is 0.0 μB/cell. The calculated total energy is -18.0 eV/cell. As for the space group: P-6m2. The polymorph energy (0 for the lowest one) comes out at 222 meV/atom. The calculation puts the calculated volume at 24.1 Å³ per atom. The calculated formation energy comes out at -15 kJ/mol of formula units.


A plane-wave DFT calculation with GGA-PBE was carried out for a geometry-optimized La3DyTe4 structure.

a = 7.886 Å, b = 8.969 Å, c = 7.847 Å
α = 90.00°, β = 109.13°, γ = 90.00°
Sites, in units of the cell vectors:
La 0.000 0.123 0.250
La 0.000 0.374 0.750
La 0.000 0.626 0.250
La 0.000 0.877 0.750
La 0.500 0.125 0.750
La 0.500 0.875 0.250
Dy 0.500 0.374 0.250
Dy 0.500 0.626 0.750
Te 0.256 0.131 0.006
Te 0.256 0.869 0.506
Te 0.262 0.381 0.500
Te 0.262 0.619 0.000
Te 0.738 0.381 0.000
Te 0.738 0.619 0.500
Te 0.744 0.131 0.494
Te 0.744 0.869 0.994

Properties
The density comes out at 6.90 g/cm³. Its spin magnetization is 0.0 μB/cell. The calculated total energy is -88.1 eV/cell. As for the space group: P2/c. The polymorph energy (0 for the lowest one) comes out at 0 meV/atom. The calculation puts the calculated volume at 32.8 Å³ per atom. For the formation energy (no corrections), the calculation gives -1.5147 eV/atom.


A plane-wave DFT calculation with GGA-PBE was carried out for a geometry-optimized KNa2HfCl8 structure.

a = 5.762 Å, b = 6.659 Å, c = 9.041 Å
α = 90.01°, β = 90.12°, γ = 91.26°
Sites, in units of the cell vectors:
K 0.000 0.000 0.000
Na 0.499 0.500 0.726
Na 0.501 0.500 0.274
Hf 0.000 0.000 0.500
Cl 0.238 0.313 0.499
Cl 0.238 0.856 0.303
Cl 0.240 0.858 0.698
Cl 0.248 0.483 0.000
Cl 0.752 0.517 0.000
Cl 0.760 0.142 0.302
Cl 0.762 0.144 0.697
Cl 0.762 0.687 0.501

Properties
The density comes out at 2.62 g/cm³. Its spin magnetization is 0.2 μB/cell. The calculated total energy is -48.4 eV/cell. As for the space group: P-1. The calculation puts the calculated volume at 28.9 Å³ per atom. For the formation energy (no corrections), the calculation gives -1.6645 eV/atom.


A plane-wave DFT calculation with GGA-PBE was carried out for a geometry-optimized Sr3PdAu structure.

a = 9.702 Å, b = 7.967 Å, c = 9.141 Å
α = 90.00°, β = 106.80°, γ = 90.00°
Sites, in units of the cell vectors:
Sr 0.047 0.009 0.216
Sr 0.047 0.491 0.716
Sr 0.284 0.654 0.108
Sr 0.284 0.846 0.608
Sr 0.352 0.189 0.009
Sr 0.352 0.311 0.509
Sr 0.648 0.689 0.491
Sr 0.648 0.811 0.991
Sr 0.716 0.154 0.392
Sr 0.716 0.346 0.892
Sr 0.953 0.509 0.284
Sr 0.953 0.991 0.784
Pd 0.055 0.168 0.522
Pd 0.055 0.332 0.022
Pd 0.945 0.668 0.978
Pd 0.945 0.832 0.478
Au 0.405 0.531 0.825
Au 0.405 0.969 0.325
Au 0.595 0.031 0.675
Au 0.595 0.469 0.175

Properties
The density comes out at 5.56 g/cm³. Its spin magnetization is 0.0 μB/cell. The calculated total energy is -66.0 eV/cell. As for the space group: P2_1/c. The polymorph energy (0 for the lowest one) comes out at 0 meV/atom. The calculation puts the calculated volume at 33.8 Å³ per atom. The calculated formation energy comes out at -288 kJ/mol of formula units.


A plane-wave DFT calculation with GGA-PBE was carried out for a geometry-optimized Al3CdAg structure.

a = 4.929 Å, b = 4.929 Å, c = 4.929 Å
α = 90.00°, β = 90.00°, γ = 90.00°
Sites, in units of the cell vectors:
Al 0.000 0.000 0.500
Al 0.000 0.500 0.000
Al 0.500 0.000 0.000
Cd 0.500 0.500 0.500
Ag 0.000 0.000 0.000

Properties
The density comes out at 4.18 g/cm³. Its spin magnetization is 0.0 μB/cell. The calculated total energy is -12.7 eV/cell. As for the space group: Pm-3m. The polymorph energy (0 for the lowest one) comes out at 0 meV/atom. The calculation puts the calculated volume at 23.9 Å³ per atom. The calculated formation energy comes out at 224 kJ/mol of formula units.


A plane-wave DFT calculation with GGA-PBE was carried out for a geometry-optimized Na2SrAg2Pb2 structure.

a = 8.641 Å, b = 8.641 Å, c = 8.641 Å
α = 34.62°, β = 34.62°, γ = 34.62°
Sites, in units of the cell vectors:
Na 0.144 0.144 0.144
Na 0.856 0.856 0.856
Sr 0.000 0.000 0.000
Ag 0.267 0.267 0.267
Ag 0.733 0.733 0.733
Pb 0.415 0.415 0.415
Pb 0.585 0.585 0.585

Properties
The density comes out at 6.83 g/cm³. Its spin magnetization is 0.0 μB/cell. The calculated total energy is -19.0 eV/cell. As for the space group: R-3m. The calculation puts the calculated volume at 26.5 Å³ per atom. The calculated formation energy comes out at -154 kJ/mol of formula units.